No. 1
25
Lattice="-3.097 -1.756 -1.841 2.182 -0.340 -3.345 6.647 -18.206 6.187" Properties=species:S:1:pos:R:3 comment="KBa4Ti5O14F | Alexandria | GGA-PBE | relaxed" sg="No. 123" e_form_raw_ev_per_atom=-3.011 crystal_system=tetragonal energy_ha_per_atom=-0.2864 pbc="T T T"
F 2.866 -10.151 0.500
Ti -0.458 -1.048 -2.593
Ti 4.869 -15.639 2.365
Ti 3.565 -12.068 1.152
Ti 2.166 -8.235 -0.151
Ti 0.862 -4.663 -1.365
Ba 2.003 -5.486 1.864
Ba 5.982 -16.386 5.568
Ba 4.644 -12.720 4.323
Ba 0.665 -1.820 0.619
O 2.456 -11.846 2.807
O -0.226 -4.501 0.311
O 1.091 -0.170 -1.673
O 1.094 -8.116 1.539
O 5.527 -17.440 2.977
O 3.733 -7.408 0.787
O 5.095 -11.138 2.055
O 3.775 -15.461 4.035
O 2.414 -3.793 -0.441
O 0.205 -2.863 -1.977
O 4.201 -13.808 1.743
O -1.549 -0.878 -0.921
O 1.531 -6.494 -0.743
O 6.415 -14.753 3.283
K 3.323 -9.103 3.094

=====

No. 2
12
Lattice="4.371 -0.259 -0.002 -0.258 6.188 -0.007 0.004 0.009 8.307" Properties=species:S:1:pos:R:3 comment="K2BaPbF8 | Alexandria | GGA-PBE | relaxed" sg="No. 10" e_form_raw_ev_per_atom=-2.749 crystal_system=monoclinic energy_ha_per_atom=-0.1708 dos_ef_per_ev_fu=0.00 pbc="T T T"
F 0.081 4.867 1.649
F 4.035 1.072 6.650
F 2.324 4.817 8.301
F 4.032 1.066 1.651
F 0.084 4.872 6.647
F 1.894 4.557 4.148
F 2.222 1.381 4.151
F 1.792 1.121 -0.002
Pb 0.000 0.000 0.000
K 2.057 2.967 2.046
K 2.059 2.971 6.252
Ba 0.002 0.005 4.153

=====

No. 3
20
Lattice="-0.899 -2.590 -6.019 5.997 -3.276 0.514 -4.386 -7.417 3.911" Properties=species:S:1:pos:R:3 comment="K2BaPbF6 | Alexandria | GGA-PBE | relaxed" sg="No. 14" e_form_raw_ev_per_atom=-2.941 crystal_system=monoclinic energy_ha_per_atom=-0.1781 dos_ef_per_ev_fu=0.00 pbc="T T T"
Ba -0.450 -1.295 -3.009
Ba 0.806 -5.346 2.212
F -1.269 -3.784 -2.761
F 1.586 -5.917 -3.981
F 1.636 -8.945 -2.169
F 2.072 -6.275 0.140
F -0.017 -11.581 -0.866
F -1.360 -7.007 -1.735
F -0.924 -4.338 0.574
F -2.857 -9.729 -0.419
F 3.569 -3.554 -1.175
F 1.982 -9.498 1.167
F -0.873 -7.366 2.386
F 0.729 -1.701 -0.728
K 1.158 -4.562 -1.702
K -0.446 -8.721 0.107
K 4.566 -5.011 1.364
K -3.853 -8.271 -2.959
Pb 2.999 -1.638 0.257
Pb -2.642 -5.003 -1.054

=====

No. 4
5
Lattice="-0.065 4.424 -3.589 -1.079 -3.534 -4.336 -5.187 0.585 0.814" Properties=species:S:1:pos:R:3 comment="KBa2PbF | Alexandria | GGA-PBE | relaxed" sg="No. 123" e_form_raw_ev_per_atom=-1.349 crystal_system=tetragonal energy_ha_per_atom=-0.1269 dos_ef_per_ev_fu=0.62 pbc="T T T"
K -2.593 0.292 0.407
F 0.000 0.000 0.000
Ba -0.032 2.212 -1.795
Ba -0.540 -1.767 -2.168
Pb -3.165 0.737 -3.556

=====

No. 5
5
Lattice="5.430 0.000 0.000 0.000 5.430 0.000 0.000 0.000 5.711" Properties=species:S:1:pos:R:3 comment="K2BaPbF | Alexandria | GGA-PBE | relaxed" sg="No. 123" e_form_raw_ev_per_atom=-1.245 crystal_system=tetragonal energy_ha_per_atom=-0.1170 dos_ef_per_ev_fu=5.36 pbc="T T T"
F 0.000 0.000 0.000
Ba 0.000 0.000 2.856
K 0.000 2.715 0.000
K 2.715 0.000 0.000
Pb 2.715 2.715 2.856

=====

No. 6
12
Lattice="6.133 0.000 0.000 0.000 6.133 0.000 -3.067 -3.067 6.002" Properties=species:S:1:pos:R:3 comment="K2BaPmF8 | Alexandria | GGA-PBE | relaxed" sg="No. 119" e_form_raw_ev_per_atom=-3.270 crystal_system=tetragonal energy_ha_per_atom=-0.1932 dos_ef_per_ev_fu=15.41 pbc="T T T"
F 4.739 1.720 1.620
F 1.348 1.672 4.381
F 1.347 -1.672 4.381
F -1.347 1.673 4.381
F -1.347 -1.672 4.381
F 1.394 1.719 1.620
F 1.394 4.414 1.620
F 4.738 4.414 1.621
Ba 0.000 0.000 6.002
K -3.066 3.066 6.002
K 3.067 0.000 3.001
Pm 0.000 3.066 3.001